<i>
A plane-wave DFT calculation with PBE was carried out for TiV2Se4 after structural relaxation.

Unit cell a=6.9555 b=6.9555 c=7.0984 alpha=104.68 beta=104.68 gamma=117.84
With the nearest neighbours (Å) after each atom.
Fractional coordinates of all 14 atoms:
1 Ti 0.1247 0.8753 0.5000  6 Se 2.48-2.66
2 Ti 0.8753 0.1247 0.0000  6 Se 2.48-2.66
3 V 0.1409 0.8864 0.0492  6 Se 2.48-2.63
4 V 0.4556 0.7078 0.5803  5 Se 2.41-2.67
5 V 0.7078 0.4556 0.0803  5 Se 2.41-2.67
6 V 0.8864 0.1409 0.5492  6 Se 2.48-2.63
7 Se 0.1171 0.6089 0.7024  3 V 2.57-2.63, 1 Ti 2.61
8 Se 0.1419 0.6009 0.1990  3 V 2.48-2.67, 2 Ti 2.55-2.64
9 Se 0.1871 0.2137 0.3727  3 V 2.62-2.74, 2 Ti 2.62-2.66
10 Se 0.2137 0.1871 0.8727  3 V 2.62-2.74, 2 Ti 2.62-2.66
11 Se 0.6009 0.1419 0.6990  3 V 2.48-2.67, 2 Ti 2.55-2.64
12 Se 0.6089 0.1171 0.2024  3 V 2.57-2.63, 1 Ti 2.61
13 Se 0.6857 0.6952 0.3740  3 V 2.41-2.50, 1 Ti 2.48
14 Se 0.6952 0.6857 0.8740  3 V 2.41-2.50, 1 Ti 2.48

Results
Density of states at the Fermi level = 5.10 states/eV/f.u.
Space group = Cc, No. 9


<ii>
A plane-wave DFT calculation with PBE was carried out for TiV2Se4 after structural relaxation.

Unit cell a=6.9945 b=6.9945 c=6.1945 alpha=114.49 beta=114.49 gamma=28.17
With the nearest neighbours (Å) after each atom.
Fractional coordinates of all 7 atoms:
1 Ti 0.0000 0.0000 0.0000  6 Se 2.57-2.62
2 V 0.2548 0.2548 0.3232  5 Se 2.44-2.64
3 V 0.7452 0.7452 0.6768  5 Se 2.44-2.64
4 Se 0.1091 0.1091 0.4562  3 V 2.44-2.45, 1 Ti 2.57
5 Se 0.3574 0.3574 0.0202  2 Ti 2.62, 3 V 2.64-2.77
6 Se 0.6426 0.6426 0.9798  2 Ti 2.62, 3 V 2.64-2.77
7 Se 0.8909 0.8909 0.5438  3 V 2.44-2.45, 1 Ti 2.57

Results
Density of states at the Fermi level = 4.58 states/eV/f.u.
Space group = C2/m, No. 12


Q: Which of them is the most stable? A: <ii>.


<i>
A plane-wave DFT calculation with PBE was carried out for Ti2VSe4 after structural relaxation.

Unit cell a=7.1796 b=7.1796 c=7.1796 alpha=139.46 beta=139.46 gamma=58.68
With the nearest neighbours (Å) after each atom.
Fractional coordinates of all 7 atoms:
1 Ti 0.1100 0.1100 0.0000  1 Se 2.37
2 Ti 0.8900 0.8900 0.0000  1 Se 2.37
3 V 0.5000 0.5000 0.0000  6 Se 2.49-2.51
4 Se 0.0000 0.5000 0.5000  2 V 2.49
5 Se 0.2992 0.2992 0.0000  1 Ti 2.37, 1 V 2.51
6 Se 0.5000 0.0000 0.5000  2 V 2.49
7 Se 0.7008 0.7008 0.0000  1 Ti 2.37, 1 V 2.51

Results
Density of states at the Fermi level = 5.02 states/eV/f.u.
Space group = I4/mmm, No. 139


<ii>
A plane-wave DFT calculation with PBE was carried out for Ti2VSe4 after structural relaxation.

Unit cell a=7.0138 b=7.0138 c=6.3695 alpha=116.09 beta=116.09 gamma=29.18
With the nearest neighbours (Å) after each atom.
Fractional coordinates of all 7 atoms:
1 Ti 0.2471 0.2471 0.2107  6 Se 2.53-2.73
2 Ti 0.7529 0.7529 0.7893  6 Se 2.53-2.73
3 V 0.5000 0.5000 0.5000  6 Se 2.54-2.59
4 Se 0.1310 0.1310 0.4656  2 V 2.59, 3 Ti 2.65-2.73
5 Se 0.3881 0.3881 0.0533  3 Ti 2.53-2.55, 1 V 2.54
6 Se 0.6119 0.6119 0.9467  3 Ti 2.53-2.55, 1 V 2.54
7 Se 0.8690 0.8690 0.5344  2 V 2.59, 3 Ti 2.65-2.73

Results
Density of states at the Fermi level = 3.97 states/eV/f.u.
Space group = C2/m, No. 12


<iii>
A plane-wave DFT calculation with PBE was carried out for Ti2VSe4 after structural relaxation.

Unit cell a=6.9977 b=6.9977 c=6.3973 alpha=116.21 beta=116.21 gamma=29.07
With the nearest neighbours (Å) after each atom.
Fractional coordinates of all 7 atoms:
1 Ti 0.0000 0.0000 0.0000  6 Se 2.51-2.77
2 Ti 0.7472 0.7472 0.6995  6 Se 2.55-2.63
3 V 0.4945 0.4945 0.3975  6 Se 2.50-2.75
4 Se 0.1100 0.1100 0.7255  3 Ti 2.62-2.77, 2 V 2.63
5 Se 0.3836 0.3836 0.6660  4 Ti 2.63-2.66, 1 V 2.75
6 Se 0.6373 0.6373 0.2518  1 V 2.50, 3 Ti 2.53-2.55
7 Se 0.8587 0.8587 0.1522  2 V 2.51, 2 Ti 2.51-2.58

Results
Density of states at the Fermi level = 5.28 states/eV/f.u.
Space group = Cm, No. 8


Q: Which of them is the most stable? A: <ii>.


<i>
A plane-wave DFT calculation with PBE was carried out for TiWSe2 after structural relaxation.

Unit cell a=4.4949 b=4.4949 c=4.4949 alpha=60.00 beta=60.00 gamma=60.00
With the nearest neighbours (Å) after each atom.
Fractional coordinates of all 4 atoms:
1 Ti 0.0000 0.0000 0.0000  8 Se 2.75
2 W 0.5000 0.5000 0.5000  8 Se 2.75
3 Se 0.2500 0.2500 0.2500  4 W 2.75, 4 Ti 2.75
4 Se 0.7500 0.7500 0.7500  4 W 2.75, 4 Ti 2.75

Results
Density of states at the Fermi level = 3.95 states/eV/f.u.
Space group = Fm-3m, No. 225


<ii>
A plane-wave DFT calculation with PBE was carried out for TiWSe2 after structural relaxation.

Unit cell a=8.1137 b=8.1137 c=8.1137 alpha=145.92 beta=145.92 gamma=48.97
With the nearest neighbours (Å) after each atom.
Fractional coordinates of all 8 atoms:
1 Ti 0.0000 0.0000 0.0000  4 Se 2.51
2 Ti 0.7500 0.2500 0.5000  4 Se 2.51
3 W 0.2500 0.7500 0.5000  4 Se 2.48
4 W 0.5000 0.5000 0.0000  4 Se 2.48
5 Se 0.1327 0.6250 0.0077  2 W 2.48, 2 Ti 2.51
6 Se 0.3750 0.3827 0.5077  2 W 2.48, 2 Ti 2.51
7 Se 0.6173 0.1250 0.9923  2 W 2.48, 2 Ti 2.51
8 Se 0.8750 0.8673 0.4923  2 W 2.48, 2 Ti 2.51

Results
Density of states at the Fermi level = 3.86 states/eV/f.u.
Space group = I-42d, No. 122


<iii>
A plane-wave DFT calculation with PBE was carried out for TiWSe2 after structural relaxation.

Unit cell a=8.7353 b=8.7353 c=8.7353 alpha=20.68 beta=20.68 gamma=20.68
With the nearest neighbours (Å) after each atom.
Fractional coordinates of all 4 atoms:
1 Ti 0.0000 0.0000 0.0000  6 Se 2.53
2 W 0.5000 0.5000 0.5000  2 Se 2.51
3 Se 0.4022 0.4022 0.4022  1 W 2.51, 3 Ti 2.53
4 Se 0.5978 0.5978 0.5978  1 W 2.51, 3 Ti 2.53

Results
Density of states at the Fermi level = 2.70 states/eV/f.u.
Space group = R-3m, No. 166


Q: Which of them is the most stable? A: <i>.


<i>
A plane-wave DFT calculation with PBE was carried out for TiW3Se after structural relaxation.

Unit cell a=4.6395 b=4.6395 c=4.6395 alpha=90.00 beta=90.00 gamma=90.00
With the nearest neighbours (Å) after each atom.
Fractional coordinates of all 5 atoms:
1 Ti 0.0000 0.0000 0.0000  6 W 2.32
2 W 0.0000 0.0000 0.5000  2 Ti 2.32
3 W 0.0000 0.5000 0.0000  2 Ti 2.32
4 W 0.5000 0.0000 0.0000  2 Ti 2.32
5 Se 0.5000 0.5000 0.5000  12 W 3.28

Results
Density of states at the Fermi level = 5.38 states/eV/f.u.
Space group = Pm-3m, No. 221


<ii>
A plane-wave DFT calculation with PBE was carried out for TiW3Se after structural relaxation.

Unit cell a=4.5857 b=4.5857 c=4.5857 alpha=90.00 beta=90.00 gamma=90.00
With the nearest neighbours (Å) after each atom.
Fractional coordinates of all 5 atoms:
1 Ti 0.0000 0.0000 0.0000  12 W 3.24
2 W 0.0000 0.5000 0.5000  2 Se 2.29
3 W 0.5000 0.0000 0.5000  2 Se 2.29
4 W 0.5000 0.5000 0.0000  2 Se 2.29
5 Se 0.5000 0.5000 0.5000  6 W 2.29

Results
Density of states at the Fermi level = 7.70 states/eV/f.u.
Space group = Pm-3m, No. 221


Q: Which of them is the most stable? A: <ii>.


<i>
A plane-wave DFT calculation with PBE was carried out for Y3TiSe after structural relaxation.

Unit cell a=5.3469 b=5.3469 c=5.3469 alpha=90.00 beta=90.00 gamma=90.00
With the nearest neighbours (Å) after each atom.
Fractional coordinates of all 5 atoms:
1 Y 0.0000 0.0000 0.5000  2 Ti 2.67
2 Y 0.0000 0.5000 0.0000  2 Ti 2.67
3 Y 0.5000 0.0000 0.0000  2 Ti 2.67
4 Ti 0.0000 0.0000 0.0000  6 Y 2.67
5 Se 0.5000 0.5000 0.5000  12 Y 3.78

Results
Density of states at the Fermi level = 5.85 states/eV/f.u.
Space group = Pm-3m, No. 221


<ii>
A plane-wave DFT calculation with PBE was carried out for Y3TiSe after structural relaxation.

Unit cell a=5.3608 b=5.3608 c=5.3608 alpha=90.00 beta=90.00 gamma=90.00
With the nearest neighbours (Å) after each atom.
Fractional coordinates of all 5 atoms:
1 Y 0.0000 0.0000 0.5000  2 Se 2.68
2 Y 0.0000 0.5000 0.0000  2 Se 2.68
3 Y 0.5000 0.0000 0.0000  2 Se 2.68
4 Ti 0.5000 0.5000 0.5000  12 Y 3.79
5 Se 0.0000 0.0000 0.0000  6 Y 2.68

Results
Density of states at the Fermi level = 6.53 states/eV/f.u.
Space group = Pm-3m, No. 221


Q: Which of them is the most stable? A: <ii>.


<i>
A plane-wave DFT calculation with PBE was carried out for Ti2ZnSe after structural relaxation.

Unit cell a=4.5040 b=4.5040 c=4.5040 alpha=60.00 beta=60.00 gamma=60.00
With the nearest neighbours (Å) after each atom.
Fractional coordinates of all 4 atoms:
1 Ti 0.2500 0.2500 0.2500  4 Se 2.76, 4 Zn 2.76
2 Ti 0.7500 0.7500 0.7500  4 Se 2.76, 4 Zn 2.76
3 Zn 0.0000 0.0000 0.0000  8 Ti 2.76
4 Se 0.5000 0.5000 0.5000  8 Ti 2.76

Results
Density of states at the Fermi level = 5.63 states/eV/f.u.
Space group = Fm-3m, No. 225


<ii>
A plane-wave DFT calculation with PBE was carried out for Ti2ZnSe after structural relaxation.

Unit cell a=7.1778 b=7.1778 c=7.1778 alpha=133.92 beta=133.92 gamma=67.21
With the nearest neighbours (Å) after each atom.
Fractional coordinates of all 8 atoms:
1 Ti 0.1236 0.6250 0.9986  2 Zn 2.48, 2 Se 2.49
2 Ti 0.3750 0.3736 0.4986  2 Zn 2.48, 2 Se 2.49
3 Ti 0.6264 0.1250 0.0014  2 Zn 2.48, 2 Se 2.49
4 Ti 0.8750 0.8764 0.5014  2 Zn 2.48, 2 Se 2.49
5 Zn 0.0000 0.0000 0.0000  4 Ti 2.48
6 Zn 0.7500 0.2500 0.5000  4 Ti 2.48
7 Se 0.2500 0.7500 0.5000  4 Ti 2.49
8 Se 0.5000 0.5000 0.0000  4 Ti 2.49

Results
Density of states at the Fermi level = 3.54 states/eV/f.u.
Space group = I-42d, No. 122


Q: Which of them is the most stable? A: <i>.